A plane-wave DFT calculation with PBEsol was carried out for a relaxed structure of Mg5Pt.

Lattice parameters (Å, degrees): 5.0307 5.3537 5.3537 120.00 90.00 90.00
Fractional coordinates of all 6 atoms:
Mg (0.0000, 0.6667, 0.3333)
Mg (0.5000, 0.5000, 0.0000)
Mg (0.5000, 0.5000, 0.5000)
Mg (0.5000, 0.0000, 0.5000)
Pt (0.0000, 0.0000, 0.0000)
Mg (0.0000, 0.3333, 0.6667)

Energy relative to the elements (meV per atom): 231
Spin magnetization (μB/cell): 0.0
Calculated volume (Å³/atom): 20.81
Space group: P6/mmm (191)
Energy (eV/atom): -2.360